# Tc2Ge2Te

An optimized crystal structure of Tc2Ge2Te (PBE, the Alexandria database).

Computed properties:
**Formation energy (no corrections)**: 0.143 eV per atom
**Space group**: I4/mmm
**ΔE to the lowest computed polymorph**: 49.6 meV per atom

Lattice parameters (Å, degrees): 3.682 3.682 6.967 74.68 74.68 90.00
Sites, in units of the cell vectors:
Ge  0.750  0.250  0.500
Ge  0.250  0.750  0.500
Te  0.000  0.000  0.000
Tc  0.388  0.388  0.224
Tc  0.612  0.612  0.776



# Mg6HgPd3

An optimized crystal structure of Mg6HgPd3 (PBE, the Alexandria database).

Computed properties:
**ΔE_f**: -0.4800 eV/atom
**Space group**: Cmc2_1

Lattice parameters (Å, degrees): 6.783 7.464 7.464 89.38 90.00 90.00
Sites, in units of the cell vectors:
Mg  0.149  0.661  0.661
Mg  0.649  0.661  0.661
Mg  0.398  0.492  0.987
Mg  0.898  0.987  0.492
Mg  0.160  0.146  0.854
Mg  0.637  0.146  0.854
Mg  0.137  0.854  0.146
Mg  0.660  0.854  0.146
Mg  0.398  0.013  0.508
Mg  0.898  0.508  0.013
Mg  0.149  0.339  0.339
Mg  0.649  0.339  0.339
Hg  0.899  0.353  0.647
Hg  0.399  0.647  0.353
Pd  0.399  0.852  0.861
Pd  0.899  0.861  0.852
Pd  0.398  0.359  0.641
Pd  0.898  0.641  0.359
Pd  0.899  0.148  0.139
Pd  0.399  0.139  0.148



# MgTlF3

An optimized crystal structure of MgTlF3 (PBE, the Alexandria database).

Computed properties:
**Formation energy (no corrections)**: -2.445 eV per atom
**Space group**: I-4m2

Lattice parameters (Å, degrees): 5.330 5.330 6.887 67.23 67.23 90.00
Sites, in units of the cell vectors:
Tl  0.619  0.119  0.763
Tl  0.881  0.381  0.237
Mg  0.000  0.000  0.000
Mg  0.250  0.750  0.500
F  0.628  0.891  0.218
F  0.109  0.372  0.782
F  0.109  0.846  0.782
F  0.154  0.891  0.218
F  0.317  0.317  0.367
F  0.683  0.683  0.633



N(E_F) values, unit states/eV per atom, following the record order: 0.60; 0.41; 0.00.
Size of the total moment values, unit μB per cell, following the record order: 0.00; 0.00; 0.00.